[1]
# NdSm3N3

A relaxed NdSm3N3 crystal (PBE, Alexandria).

Structure (extended XYZ):
```
7
Lattice="5.097 0.000 0.000 0.000 5.097 0.000 0.000 0.000 5.097" Properties=species:S:1:pos:R:3 pbc="T T T"
Nd 0.000 0.000 0.000
Sm 0.000 2.549 2.549
Sm 2.549 0.000 2.549
Sm 2.549 2.549 0.000
N 0.000 0.000 2.549
N 0.000 2.549 0.000
N 2.549 0.000 0.000
```

Summary:
Space-group type   Pm-3m
Relative energy among the computed polymorphs   0 meV/atom

---

[2]
# Nd4Sm2N

A relaxed Nd4Sm2N crystal (PBE, Alexandria).

Structure (extended XYZ):
```
7
Lattice="-2.503 2.503 8.923 2.503 -2.503 8.923 2.503 2.503 -8.923" Properties=species:S:1:pos:R:3 pbc="T T T"
Nd 2.503 0.000 0.000
Nd 0.000 0.000 2.413
Nd 0.000 2.503 0.000
Nd 0.000 0.000 15.432
Sm 0.000 0.000 5.930
Sm 0.000 0.000 11.916
N 0.000 0.000 0.000
```

Summary:
Space-group type   I4/mmm

---

[3]
# NdSm2N

A relaxed NdSm2N crystal (PBE, Alexandria).

Structure (extended XYZ):
```
4
Lattice="1.773 1.024 9.779 -1.773 1.024 9.779 0.000 -2.048 9.779" Properties=species:S:1:pos:R:3 pbc="T T T"
Nd 0.000 0.000 0.000
Sm 0.000 0.000 3.530
Sm 0.000 0.000 25.807
N 0.000 0.000 14.668
```

Summary:
Space-group type   R-3m

---

[4]
# Nd3SmN3

A relaxed Nd3SmN3 crystal (PBE, Alexandria).

Structure (extended XYZ):
```
14
Lattice="3.181 1.837 9.111 -3.181 1.837 9.111 0.000 -3.673 9.111" Properties=species:S:1:pos:R:3 pbc="T T T"
Nd -0.997 -1.730 10.943
Nd -1.997 -0.001 16.389
Nd -1.000 1.729 10.943
Nd 1.000 -1.729 16.389
Nd 1.997 0.001 10.943
Nd 0.997 1.730 16.389
Sm 0.000 0.000 4.558
Sm 0.000 0.000 22.774
N -2.362 -0.002 12.061
N -1.179 -2.046 15.271
N 1.183 -2.044 12.061
N -1.183 2.044 15.271
N 1.179 2.046 12.061
N 2.362 0.002 15.271
```

Summary:
Space-group type   R-3
Relative energy among the computed polymorphs   173 meV/atom

---

no.,formation energy (no corrections) (meV per atom),total DFT energy (no corrections) (eV per atom),M_tot (μB per formula unit)
1,-1180,-7.452,0.000
2,-201,-5.463,0.000
3,-615,-6.248,0.001
4,-978,-7.264,0.366